Entry from Alexandria: SrLaTl6 after structural relaxation (PBE).

Unit cell a=4.9283 b=4.9283 c=9.9156 alpha=90.00 beta=90.00 gamma=90.00
Fractional positions:
Sr 0.0000 0.0000 0.0000
La 0.0000 0.0000 0.5000
Tl 0.0000 0.5000 0.2539
Tl 0.0000 0.5000 0.7461
Tl 0.5000 0.0000 0.2539
Tl 0.5000 0.0000 0.7461
Tl 0.5000 0.5000 0.0000
Tl 0.5000 0.5000 0.5000

* crystal system: tetragonal
* M_tot: 0.000 μB/atom
* total energy: -2.902 eV/atom
* calculated volume: 30.1 Å³/atom
* space group: P4/mmm (123)
* ΔE_f: -0.301 eV/atom